1.
# PmY4Cd PBE-GGA optimized geometry
data_PmY4Cd
_space_group_name_H-M_alt 'P 1'
_space_group_IT_number 1
_cell_length_a 3.6139
_cell_length_b 3.6139
_cell_length_c 14.1838
_cell_angle_alpha 90.00
_cell_angle_beta 90.00
_cell_angle_gamma 90.00
loop_
_space_group_symop_operation_xyz
'x,y,z'
loop_
_atom_site_label
_atom_site_type_symbol
_atom_site_fract_x
_atom_site_fract_y
_atom_site_fract_z
_atom_site_occupancy
Pm1 Pm 0.0000 0.0000 0.0000 1
Y1 Y 0.0000 0.0000 0.3568 1
Y2 Y 0.0000 0.0000 0.6432 1
Y3 Y 0.5000 0.5000 0.1785 1
Y4 Y 0.5000 0.5000 0.8215 1
Cd1 Cd 0.5000 0.5000 0.5000 1
# Space-group type: P4/mmm, No. 123
# Crystal system: tetragonal

2.
# Pm2YCd4 PBE-GGA optimized geometry
data_Pm2YCd4
_space_group_name_H-M_alt 'P 1'
_space_group_IT_number 1
_cell_length_a 5.3653
_cell_length_b 5.3653
_cell_length_c 14.1705
_cell_angle_alpha 90.00
_cell_angle_beta 90.00
_cell_angle_gamma 90.00
loop_
_space_group_symop_operation_xyz
'x,y,z'
loop_
_atom_site_label
_atom_site_type_symbol
_atom_site_fract_x
_atom_site_fract_y
_atom_site_fract_z
_atom_site_occupancy
Pm1 Pm 0.0000 0.0000 0.2397 1
Pm2 Pm 0.0000 0.0000 0.7603 1
Pm3 Pm 0.5000 0.5000 0.2603 1
Pm4 Pm 0.5000 0.5000 0.7397 1
Y1 Y 0.0000 0.0000 0.5000 1
Y2 Y 0.5000 0.5000 0.0000 1
Cd1 Cd 0.0000 0.5000 0.1114 1
Cd2 Cd 0.0000 0.5000 0.3886 1
Cd3 Cd 0.0000 0.5000 0.6114 1
Cd4 Cd 0.0000 0.5000 0.8886 1
Cd5 Cd 0.5000 0.0000 0.1114 1
Cd6 Cd 0.5000 0.0000 0.3886 1
Cd7 Cd 0.5000 0.0000 0.6114 1
Cd8 Cd 0.5000 0.0000 0.8886 1
# Space-group type: I4/mmm, No. 139
# Crystal system: tetragonal

3.
# Pm2YCd3 PBE-GGA optimized geometry
data_Pm2YCd3
_space_group_name_H-M_alt 'P 1'
_space_group_IT_number 1
_cell_length_a 5.3804
_cell_length_b 5.3804
_cell_length_c 6.6001
_cell_angle_alpha 90.00
_cell_angle_beta 90.00
_cell_angle_gamma 120.00
loop_
_space_group_symop_operation_xyz
'x,y,z'
loop_
_atom_site_label
_atom_site_type_symbol
_atom_site_fract_x
_atom_site_fract_y
_atom_site_fract_z
_atom_site_occupancy
Pm1 Pm 0.3333 0.6667 0.1715 1
Pm2 Pm 0.6667 0.3333 0.8285 1
Y1 Y 0.0000 0.0000 0.5000 1
Cd1 Cd 0.0000 0.0000 0.0000 1
Cd2 Cd 0.3333 0.6667 0.6654 1
Cd3 Cd 0.6667 0.3333 0.3346 1
# Space-group type: P-3m1, No. 164
# Crystal system: trigonal

Record-wise ΔE_f values, in eV per atom: -0.099 -0.172 -0.328